Material: Ba2AgBiO5
Method: DFT, PBE
State: optimized geometry

Calculated values
**Size of the total moment**: 0.000 μB per atom
**D(E_F)**: 1.8 states/eV/f.u.
**Crystal system**: orthorhombic
**ΔE_f (raw)**: -1.51 eV per atom

Cell: 3.5976 17.0762 10.0199 Å, 90.00 90.00 90.00°
With the nearest neighbours (Å) after each atom.
Space group Cmc2_1 (No. 36)
Asymmetric unit:
Ba: 0.0000 0.1143 0.0000 (multiplicity 4)  6 O 2.68-2.86
Ba: 0.0000 0.1142 0.4296 (multiplicity 4)  6 O 2.68-2.86
Ag: 0.0000 0.4778 0.2142 (multiplicity 4)  4 O 2.30-2.54
Bi: 0.0000 0.2309 0.7148 (multiplicity 4)  6 O 2.14-2.28
O: 0.0000 0.1058 0.7150 (multiplicity 4)  1 Bi 2.14, 2 Ag 2.30
O: 0.0000 0.2739 0.0749 (multiplicity 4)  2 Bi 2.28
O: 0.0000 0.2738 0.3548 (multiplicity 4)  2 Bi 2.28
O: 0.0000 0.3564 0.7148 (multiplicity 4)  1 Bi 2.14
O: 0.0000 0.5000 0.4653 (multiplicity 4)  2 Ag 2.52-2.54, 4 Ba 2.68

Material: MgSc3Cd5
Method: DFT, PBE
State: optimized geometry

Calculated values
**Size of the total moment**: 0.000 μB per atom
**D(E_F)**: 6.2 states/eV/f.u.
**Crystal system**: hexagonal
**Energy of formation**: -0.2124 eV per atom

Cell: 8.6615 8.6615 6.0353 Å, 90.00 90.00 120.00°
With the nearest neighbours (Å) after each atom.
Space group P6_3/mcm (No. 193)
Asymmetric unit:
Mg: 0.0000 0.0000 0.0000 (multiplicity 2)  2 Mg 3.02, 6 Cd 3.18, 6 Sc 3.32
Sc: 0.0000 0.3419 0.2500 (multiplicity 6)  9 Cd 2.88-3.23
Cd: 0.0000 0.3227 0.7500 (multiplicity 6)  5 Sc 2.88-3.02, 2 Mg 3.18
Cd: 0.3333 0.6667 0.0000 (multiplicity 4)  8 Cd 3.02-3.30, 6 Sc 3.23

Calculated total energy values (in eV/f.u.) by entry order: -48.96 -27.08.